{"formula": "ZnCrS2", "functional": "GGA-PBE", "state": "optimized geometry", "cell": [[-6.528, -2.882, -2.275], [-4.243, -5.669, -2.438], [-5.746, -4.751, 0.711]], "species": ["S", "S", "Zn", "Cr"], "fractional_positions": [[0.897, 0.897, 0.897], [0.103, 0.103, 0.103], [0.500, 0.500, 0.500], [0.000, 0.000, 0.000]], "energy_ha_per_atom": -0.177, "n_ef_per_ev_atom": 0.43}